1.
A geometry-optimized Pr2ThC2I2 structure, computed with GGA-PBE.

The structure belongs to space group I4/mmm (No. 139); the cell edges are 4.7509, 4.7509 and 17.5924 Å and the angles 90.00°, 90.00° and 90.00°. The inequivalent atoms are Pr at (0.0000, 0.0000, 0.0895), Th at (0.0000, 0.0000, 0.5000), C at (0.0000, 0.5000, 0.0000) and I at (0.0000, 0.0000, 0.3148).


2.
A geometry-optimized PrThCI structure, computed with GGA-PBE.

The structure belongs to space group R3m (No. 160, hexagonal axes); the cell edges are 3.8711, 3.8711 and 23.7249 Å and the angles 90.00°, 90.00° and 120.00°. The inequivalent atoms are Pr at (0.0000, 0.0000, 0.0000), Th at (0.0000, 0.0000, 0.7828), C at (0.0000, 0.0000, 0.3984) and I at (0.0000, 0.0000, 0.2256).


3.
A geometry-optimized PrYCI structure, computed with GGA-PBE.

The structure belongs to space group R3m (No. 160, hexagonal axes); the cell edges are 3.8370, 3.8370 and 23.0017 Å and the angles 90.00°, 90.00° and 120.00°. The inequivalent atoms are Pr at (0.0000, 0.0000, 0.0000), Y at (0.0000, 0.0000, 0.2184), C at (0.0000, 0.0000, 0.6031) and I at (0.0000, 0.0000, 0.7807).


| no. | formation energy from raw total energies (eV per atom) |
| --- | --- |
| 1 | -0.450 |
| 2 | -0.671 |
| 3 | -0.711 |